Entry 1:
Crystalline Tm2LuHg at its relaxed geometry, computed with GGA-PBE.

energy	-3.662	eV per atom
energy of formation from the pure elements	-5.08	kcal/mol of atoms
ΔE to the lowest computed polymorph	0.0	meV/atom
DOS(E_F)	1.20	states/eV/atom

CIF file:
```
data_Tm2LuHg
_cell_length_a 3.531
_cell_length_b 3.531
_cell_length_c 8.824
_cell_angle_alpha 90.00
_cell_angle_beta 90.00
_cell_angle_gamma 90.00
_symmetry_space_group_name_H-M 'P 4/m m m'
_symmetry_Int_Tables_number 123
_symmetry_space_group_name_Hall '-P 4 2'
loop_
_atom_site_label
_atom_site_type_symbol
_atom_site_fract_x
_atom_site_fract_y
_atom_site_fract_z
Tm1 Tm 0.000 0.000 0.227
Lu1 Lu 0.500 0.500 0.500
Hg1 Hg 0.500 0.500 0.000
```

***

Entry 2:
Crystalline TmLuZnHg at its relaxed geometry, computed with GGA-PBE.

energy	-3.041	eV per atom
energy of formation from the pure elements	-9.20	kcal/mol of atoms
DOS(E_F)	0.74	states/eV/atom

CIF file:
```
data_TmLuZnHg
_cell_length_a 7.184
_cell_length_b 7.184
_cell_length_c 7.184
_cell_angle_alpha 90.00
_cell_angle_beta 90.00
_cell_angle_gamma 90.00
_symmetry_space_group_name_H-M 'F -4 3 m'
_symmetry_Int_Tables_number 216
_symmetry_space_group_name_Hall 'F -4 2 3'
loop_
_atom_site_label
_atom_site_type_symbol
_atom_site_fract_x
_atom_site_fract_y
_atom_site_fract_z
Tm1 Tm 0.000 0.000 0.000
Lu1 Lu 0.000 0.000 0.500
Zn1 Zn 0.250 0.250 0.750
Hg1 Hg 0.250 0.250 0.250
```

***

Entry 3:
Crystalline Y2LuHg at its relaxed geometry, computed with GGA-PBE.

energy	-4.565	eV per atom
energy of formation from the pure elements	-2.93	kcal/mol of atoms
ΔE to the lowest computed polymorph	96.8	meV/atom
DOS(E_F)	1.48	states/eV/atom

CIF file:
```
data_Y2LuHg
_cell_length_a 5.293
_cell_length_b 5.293
_cell_length_c 3.987
_cell_angle_alpha 90.00
_cell_angle_beta 90.00
_cell_angle_gamma 90.00
_symmetry_space_group_name_H-M 'P 4/m m m'
_symmetry_Int_Tables_number 123
_symmetry_space_group_name_Hall '-P 4 2'
loop_
_atom_site_label
_atom_site_type_symbol
_atom_site_fract_x
_atom_site_fract_y
_atom_site_fract_z
Y1 Y 0.000 0.500 0.000
Lu1 Lu 0.000 0.000 0.500
Hg1 Hg 0.500 0.500 0.500
```

***

Entry 4:
Crystalline YLuHg at its relaxed geometry, computed with GGA-PBE.

energy	-3.953	eV per atom
energy of formation from the pure elements	-4.41	kcal/mol of atoms
DOS(E_F)	1.14	states/eV/atom

CIF file:
```
data_YLuHg
_cell_length_a 5.0957
_cell_length_b 5.0957
_cell_length_c 3.6816
_cell_angle_alpha 90.00
_cell_angle_beta 90.00
_cell_angle_gamma 120.00
_symmetry_space_group_name_H-M 'P 3 m 1'
_symmetry_Int_Tables_number 156
loop_
_symmetry_equiv_pos_as_xyz
'x,y,z'
'-y,x-y,z'
'-x+y,-x,z'
'-y,-x,z'
'-x+y,y,z'
'x,x-y,z'
loop_
_atom_site_label
_atom_site_type_symbol
_atom_site_fract_x
_atom_site_fract_y
_atom_site_fract_z
Y1 Y 0.0000 0.0000 0.0000
Lu1 Lu 0.6667 0.3333 0.5258
Hg1 Hg 0.3333 0.6667 0.3648
```

***

Entry 5:
Crystalline Y2LuHg at its relaxed geometry, computed with GGA-PBE.

energy	-4.327	eV per atom
energy of formation from the pure elements	2.55	kcal/mol of atoms
ΔE to the lowest computed polymorph	334.2	meV/atom
DOS(E_F)	1.08	states/eV/atom

CIF file:
```
data_Y2LuHg
_cell_length_a 3.4962
_cell_length_b 3.4962
_cell_length_c 35.6476
_cell_angle_alpha 90.00
_cell_angle_beta 90.00
_cell_angle_gamma 120.00
_symmetry_space_group_name_H-M 'R -3 m'
_symmetry_Int_Tables_number 166
_symmetry_space_group_name_Hall '-R 3 2"'
loop_
_atom_site_label
_atom_site_type_symbol
_atom_site_fract_x
_atom_site_fract_y
_atom_site_fract_z
Y1 Y 0.0000 0.0000 0.0888
Lu1 Lu 0.0000 0.0000 0.5000
Hg1 Hg 0.0000 0.0000 0.0000
```

***

Entry 6:
Crystalline Y2LuHg at its relaxed geometry, computed with GGA-PBE.

energy	-4.661	eV per atom
energy of formation from the pure elements	-5.16	kcal/mol of atoms
ΔE to the lowest computed polymorph	0.0	meV/atom
DOS(E_F)	1.33	states/eV/atom

CIF file:
```
data_Y2LuHg
_cell_length_a 3.591
_cell_length_b 3.591
_cell_length_c 8.881
_cell_angle_alpha 90.00
_cell_angle_beta 90.00
_cell_angle_gamma 90.00
_symmetry_space_group_name_H-M 'P 4/m m m'
_symmetry_Int_Tables_number 123
_symmetry_space_group_name_Hall '-P 4 2'
loop_
_atom_site_label
_atom_site_type_symbol
_atom_site_fract_x
_atom_site_fract_y
_atom_site_fract_z
Y1 Y 0.000 0.000 0.226
Lu1 Lu 0.500 0.500 0.500
Hg1 Hg 0.500 0.500 0.000
```